La3ScPb3 | Alexandria | PBE | relaxed; space-group type = C2/m (12); formation enthalpy at 0 K = -0.38 eV/atom; DFT total energy = -4.981 eV per atom; V = 504 Å³ per cell
1.0
4.533 -6.705 0.000
4.533 6.705 0.000
-1.087 0.000 8.296
La Sc Pb
6 2 6
direct
0.160 0.840 0.000
0.231 0.769 0.500
0.400 0.400 0.138
0.600 0.600 0.862
0.769 0.231 0.500
0.840 0.160 0.000
0.190 0.190 0.636
0.810 0.810 0.364
0.111 0.111 0.297
0.138 0.486 0.793
0.486 0.138 0.793
0.514 0.862 0.207
0.862 0.514 0.207
0.889 0.889 0.703

=====

LaSc2Pb | Alexandria | PBE | relaxed; space-group type = P2/m (10); formation enthalpy at 0 K = -0.16 eV/atom; DFT total energy = -5.488 eV per atom; V = 112 Å³ per cell
1.0
3.522 0.000 0.000
0.000 5.108 0.000
-1.390 0.000 6.243
La Sc Pb
1 2 1
direct
0.000 0.000 0.000
0.342 0.500 0.730
0.658 0.500 0.270
0.500 0.000 0.500

=====

LaSc2Pb | Alexandria | PBE | relaxed; space-group type = C2/m (12); formation enthalpy at 0 K = -0.18 eV/atom; DFT total energy = -5.507 eV per atom; V = 110 Å³ per cell
1.0
5.601 -1.724 0.000
5.601 1.724 0.000
-1.535 0.000 5.688
La Sc Pb
1 2 1
direct
0.000 0.000 0.000
0.234 0.234 0.740
0.766 0.766 0.260
0.500 0.500 0.500

=====

LaSc2Pb | Alexandria | PBE | relaxed; space-group type = Pmmm (47); formation enthalpy at 0 K = -0.17 eV/atom; DFT total energy = -5.490 eV per atom; V = 109 Å³ per cell
1.0
3.616 0.000 0.000
0.000 5.213 0.000
0.000 0.000 5.770
La Sc Pb
1 2 1
direct
0.000 0.000 0.000
0.000 0.500 0.500
0.500 0.500 0.000
0.500 0.000 0.500

=====

LaSc2Pb2 | Alexandria | PBE | relaxed; space-group type = I4/mmm (139); formation enthalpy at 0 K = -0.41 eV/atom; DFT total energy = -5.415 eV per atom; V = 145 Å³ per cell
1.0
-2.321 2.321 6.727
2.321 -2.321 6.727
2.321 2.321 -6.727
La Sc Pb
1 2 2
direct
0.000 0.000 0.000
0.250 0.750 0.500
0.750 0.250 0.500
0.388 0.388 0.000
0.612 0.612 0.000

=====

LaSc2Pb2 | Alexandria | PBE | relaxed; space-group type = P4/mbm (127); formation enthalpy at 0 K = -0.40 eV/atom; DFT total energy = -5.399 eV per atom; V = 275 Å³ per cell
1.0
8.823 0.000 0.000
0.000 8.823 0.000
0.000 0.000 3.529
La Sc Pb
2 4 4
direct
0.000 0.000 0.000
0.500 0.500 0.000
0.144 0.356 0.500
0.356 0.856 0.500
0.644 0.144 0.500
0.856 0.644 0.500
0.152 0.652 0.000
0.348 0.152 0.000
0.652 0.848 0.000
0.848 0.348 0.000

=====

La4ScPb | Alexandria | PBE | relaxed; space-group type = F-43m (216); formation enthalpy at 0 K = 0.18 eV/atom; DFT total energy = -4.777 eV per atom; V = 200 Å³ per cell
1.0
0.000 4.645 4.645
4.645 0.000 4.645
4.645 4.645 0.000
La Sc Pb
4 1 1
direct
0.376 0.376 0.376
0.376 0.376 0.872
0.376 0.872 0.376
0.872 0.376 0.376
0.750 0.750 0.750
0.000 0.000 0.000

=====

LaSc2Pb | Alexandria | PBE | relaxed; space-group type = R-3m (166); formation enthalpy at 0 K = -0.09 eV/atom; DFT total energy = -5.410 eV per atom; V = 110 Å³ per cell
1.0
1.730 0.999 10.598
-1.730 0.999 10.598
0.000 -1.997 10.598
La Sc Pb
1 2 1
direct
0.000 0.000 0.000
0.245 0.245 0.245
0.755 0.755 0.755
0.500 0.500 0.500

=====

LaSc2Pb2 | Alexandria | PBE | relaxed; space-group type = I4/mmm (139); formation enthalpy at 0 K = -0.13 eV/atom; DFT total energy = -5.131 eV per atom; V = 155 Å³ per cell
1.0
-2.736 2.736 5.178
2.736 -2.736 5.178
2.736 2.736 -5.178
La Sc Pb
1 2 2
direct
0.000 0.000 0.000
0.343 0.343 0.000
0.657 0.657 0.000
0.250 0.750 0.500
0.750 0.250 0.500

=====

La2ScPb3 | Alexandria | PBE | relaxed; space-group type = C2/c (15); formation enthalpy at 0 K = -0.46 eV/atom; DFT total energy = -5.007 eV per atom; V = 357 Å³ per cell
1.0
8.762 -3.281 0.000
8.762 3.281 0.000
-1.355 0.000 6.212
La Sc Pb
4 2 6
direct
0.047 0.293 0.102
0.293 0.047 0.602
0.707 0.953 0.398
0.953 0.707 0.898
0.388 0.612 0.250
0.612 0.388 0.750
0.117 0.883 0.750
0.232 0.465 0.423
0.465 0.232 0.923
0.535 0.768 0.077
0.768 0.535 0.577
0.883 0.117 0.250

=====

LaSc2Pb | Alexandria | PBE | relaxed; space-group type = R3m (160); formation enthalpy at 0 K = -0.06 eV/atom; DFT total energy = -5.383 eV per atom; V = 114 Å³ per cell
1.0
1.735 1.002 10.923
-1.735 1.002 10.923
0.000 -2.003 10.923
La Sc Pb
1 2 1
direct
0.000 0.000 0.000
0.500 0.500 0.500
0.756 0.756 0.756
0.244 0.244 0.244

=====

La2ScPb | Alexandria | PBE | relaxed; space-group type = P4/mmm (123); formation enthalpy at 0 K = -0.16 eV/atom; DFT total energy = -5.133 eV per atom; V = 128 Å³ per cell
1.0
3.610 0.000 0.000
0.000 3.610 0.000
0.000 0.000 9.844
La Sc Pb
2 1 1
direct
0.000 0.000 0.243
0.000 0.000 0.757
0.500 0.500 0.500
0.500 0.500 0.000